Entry 1:
A relaxed Hf2NbCdH crystal. Source: Alexandria, functional GGA-PBE.

Properties
Density of states at the Fermi level   0.98 states/eV/atom

Unit cell a=4.5016 b=4.5016 c=4.1144 alpha=90.00 beta=90.00 gamma=90.00
Last column: nearest neighbours and their distance in Å.
Space group P4/mmm (No. 123)
Inequivalent atoms, fractional coordinates:
Hf: 0.0000 0.5000 0.0000  2 H 2.25
Nb: 0.0000 0.0000 0.5000  2 H 2.06
Cd: 0.5000 0.5000 0.5000  8 Hf 3.05, 4 Nb 3.18
H: 0.0000 0.0000 0.0000  2 Nb 2.06, 4 Hf 2.25

Entry 2:
A relaxed HfNb2CdH crystal. Source: Alexandria, functional GGA-PBE.

Properties
Density of states at the Fermi level   0.67 states/eV/atom

Unit cell a=4.1708 b=4.1708 c=4.5947 alpha=90.00 beta=90.00 gamma=90.00
Last column: nearest neighbours and their distance in Å.
Space group P4/mmm (No. 123)
Inequivalent atoms, fractional coordinates:
Hf: 0.0000 0.0000 0.0000  2 H 2.30
Nb: 0.0000 0.5000 0.5000  2 H 2.09
Cd: 0.5000 0.5000 0.0000  4 Hf 2.95, 8 Nb 3.10
H: 0.0000 0.0000 0.5000  4 Nb 2.09, 2 Hf 2.30

Entry 3:
A relaxed Hf2CdNiH crystal. Source: Alexandria, functional GGA-PBE.

Properties
Density of states at the Fermi level   0.94 states/eV/atom

Unit cell a=4.4456 b=4.4456 c=3.8352 alpha=90.00 beta=90.00 gamma=90.00
Last column: nearest neighbours and their distance in Å.
Space group P4/mmm (No. 123)
Inequivalent atoms, fractional coordinates:
Hf: 0.0000 0.5000 0.0000  2 H 2.22
Cd: 0.0000 0.0000 0.5000  8 Hf 2.94, 4 Ni 3.14
Ni: 0.5000 0.5000 0.5000  2 H 1.92
H: 0.5000 0.5000 0.0000  2 Ni 1.92

Entry 4:
A relaxed HfCd2PH crystal. Source: Alexandria, functional GGA-PBE.

Properties
Density of states at the Fermi level   0.45 states/eV/atom

Unit cell a=5.8763 b=5.8763 c=4.8870 alpha=90.00 beta=90.00 gamma=90.00
Last column: nearest neighbours and their distance in Å.
Space group P4/mmm (No. 123)
Inequivalent atoms, fractional coordinates:
Hf: 0.0000 0.0000 0.0000  2 P 2.44
Cd: 0.0000 0.5000 0.0000  2 Hf 2.94
P: 0.0000 0.0000 0.5000  2 Hf 2.44
H: 0.5000 0.5000 0.5000  8 Cd 3.82, 4 P 4.16

Record order is preserved below.
Size of the total moment: 0.000, 0.000, 0.002, 0.151 μB/atom
Record order is preserved below.
Uncorrected energy: -34.7, -34.6, -30.6, -16.4 eV per cell